[1]
An optimized crystal structure of Sr2AlSnPd6. Source: Alexandria via LeMat-Bulk, functional PBE.

* space group: P-1 (2)

```
10
Lattice="6.6923 0.0000 0.0000 3.1921 5.8990 0.0000 3.2096 1.9377 5.6074" Properties=species:S:1:pos:R:3 pbc="T T T"
Sr 2.7375 1.6382 1.1788
Sr 10.3565 6.1985 4.4286
Al 6.5470 3.9184 2.8037
Sn 0.0000 0.0000 0.0000
Pd 4.2434 3.1830 3.5277
Pd 4.8084 4.0565 0.9660
Pd 7.2380 6.1713 3.7412
Pd 5.8559 1.6654 1.8662
Pd 8.2856 3.7802 4.6414
Pd 8.8506 4.6537 2.0797
```

[2]
An optimized crystal structure of Sr2AlSn3Pd4. Source: Alexandria via LeMat-Bulk, functional PBE.

* space group: P-4m2 (115)

```
10
Lattice="4.5476 0.0000 0.0000 0.0000 4.5476 0.0000 0.0000 0.0000 11.0886" Properties=species:S:1:pos:R:3 pbc="T T T"
Sr 0.0000 2.2738 2.7616
Sr 2.2738 0.0000 8.3270
Al 2.2738 2.2738 0.0000
Sn 0.0000 0.0000 0.0000
Sn 0.0000 2.2738 6.9852
Sn 2.2738 0.0000 4.1034
Pd 0.0000 0.0000 5.5443
Pd 0.0000 2.2738 9.6952
Pd 2.2738 0.0000 1.3933
Pd 2.2738 2.2738 5.5443
```

Here are the calculated formation enthalpy at 0 K numbers, same order: -0.592, -0.716 (eV per atom).